# Na2WIO6, optimized geometry, DFT PBE+U
# Energy, Ry/atom: -0.3923
# N(E_F), states/eV per cell: 2.095
data_Na2WIO6
_chemical_formula_sum 'Na2 W1 I1 O6'
_cell_length_a 5.660
_cell_length_b 5.660
_cell_length_c 4.655
_cell_angle_alpha 90.00
_cell_angle_beta 90.00
_cell_angle_gamma 90.00
_space_group_name_H-M_alt 'P 1'
_space_group_IT_number 1
_space_group_name_Hall 'P 1'
loop_
_atom_site_label
_atom_site_type_symbol
_atom_site_fract_x
_atom_site_fract_y
_atom_site_fract_z
_atom_site_occupancy
Na1 Na 0.000 0.500 0.000 1
Na2 Na 0.500 0.000 0.000 1
W1 W 0.000 0.000 0.562 1
I1 I 0.500 0.500 0.601 1
O1 O 0.000 0.000 0.174 1
O2 O 0.234 0.234 0.660 1
O3 O 0.234 0.766 0.660 1
O4 O 0.500 0.500 0.159 1
O5 O 0.766 0.234 0.660 1
O6 O 0.766 0.766 0.660 1